1.
Material: K2Np3Se6
Method: DFT, PBE-GGA
State: optimized geometry

Properties
- formation energy from raw total energies (eV per atom) = -1.247
- DOS(E_F) (states/eV/f.u.) = 32.8
- space-group type = C2/m

Cell lengths 7.2634, 7.2631, 8.1839 Å; angles 81.50, 72.80, 60.00 degrees
Site moments in Bohr magnetons follow the coordinates.
Element x y z (fractional)
K  0.1667  0.6666  0.5000  0.00
K  0.8333  0.3334  0.5000  0.00
Np  0.0000  0.0000  0.0000  3.76
Np  0.3338  0.3324  0.0000  3.75
Np  0.6662  0.6676  0.0000  3.75
Se  0.3999  0.6658  0.8005  -0.10
Se  0.7342  0.0000  0.8002  -0.10
Se  0.0656  0.3342  0.8005  -0.10
Se  0.2658  0.0000  0.1998  -0.10
Se  0.6001  0.3342  0.1995  -0.10
Se  0.9344  0.6658  0.1995  -0.10


2.
Material: SmDyErSc
Method: DFT, PBE-GGA
State: optimized geometry

Properties
- DOS(E_F) (states/eV/f.u.) = 6.9
- offset from the most stable computed form (eV per atom) = 0.0000
- formation energy (eV per atom) = 0.098
- space-group type = Cm

Cell lengths 3.7593, 5.6057, 6.6578 Å; angles 114.90, 73.57, 90.00 degrees
Element x y z (fractional)
Sm  0.4196  0.1396  0.2792
Dy  0.6537  0.4106  0.8212
Er  0.1923  0.8721  0.7441
Sc  0.9203  0.6423  0.2847


3.
Material: ZnCdSe
Method: DFT, PBE-GGA
State: optimized geometry

Properties
- formation energy from raw total energies (eV per atom) = 0.041
- DOS(E_F) (states/eV/f.u.) = 0.7
- offset from the most stable computed form (eV per atom) = 0.2658
- space-group type = Imm2

Cell lengths 6.4015, 6.4015, 6.4015 Å; angles 146.30, 153.77, 43.20 degrees
Element x y z (fractional)
Cd  0.0181  0.0181  0.0000
Se  0.3039  0.3039  0.0000
Zn  0.6780  0.6780  0.0000